Entry from Alexandria: an optimized crystal structure of Si5Ag (GGA-PBEsol).

energy: -4.906 eV per atom
formation energy without anion corrections: 0.435 eV per atom

a = 4.6487 Å, b = 4.6487 Å, c = 4.8328 Å
α = 90.00°, β = 90.00°, γ = 120.00°
Closest atoms and distances in Å follow each position.
Fractional coordinates of all 6 atoms:
Si  0.0000  0.6597  0.0000  10 Si 2.66-2.86, 2 Ag 2.89
Si  0.3333  0.6667  0.5000  3 Ag 2.68, 9 Si 2.68-2.86
Si  0.3403  0.3403  0.0000  10 Si 2.66-2.86, 2 Ag 2.89
Si  0.6597  0.0000  0.0000  10 Si 2.66-2.86, 2 Ag 2.89
Si  0.6667  0.3333  0.5000  3 Ag 2.68, 9 Si 2.68-2.86
Ag  0.0000  0.0000  0.5000  12 Si 2.68-2.89

=====

Entry from Alexandria: an optimized crystal structure of SiAg2 (GGA-PBEsol).

energy: -3.950 eV per atom
formation energy without anion corrections: 0.173 eV per atom

a = 4.3799 Å, b = 4.3799 Å, c = 2.8038 Å
α = 90.00°, β = 90.00°, γ = 90.00°
Closest atoms and distances in Å follow each position.
Fractional coordinates of all 3 atoms:
Si  0.0000  0.0000  0.0000  8 Ag 2.60, 2 Si 2.80
Ag  0.0000  0.5000  0.5000  4 Si 2.60, 2 Ag 2.80
Ag  0.5000  0.0000  0.5000  4 Si 2.60, 2 Ag 2.80